[1]
SnC2I | Alexandria | GGA-PBE | relaxed; energy relative to the elements, uncorrected = 1.963 eV/atom; calculated density = 5.89 g/cm3; SG = I-42d (122)
1.0
-2.511 2.511 6.028
2.511 -2.511 6.028
2.511 2.511 -6.028
Sn C I
2 4 2
Cartesian
0.000 0.000 0.000
0.000 2.511 3.014
3.766 1.155 -1.507
1.155 1.255 1.507
-1.255 1.356 4.521
1.356 1.255 7.535
2.511 0.000 3.014
0.000 0.000 6.028

[2]
ZrPd6Au5 | Alexandria | GGA-PBE | relaxed; calculated density = 14.10 g/cm3; SG = Cmmm (65); formation energy = -0.346 eV/atom
1.0
2.078 -6.173 0.000
2.078 6.173 0.000
0.000 0.000 7.871
Zr Pd Au
1 6 5
Cartesian
0.000 0.000 0.000
2.078 4.138 1.950
2.078 4.138 5.922
2.078 0.000 1.915
2.078 0.000 5.957
2.078 -4.138 1.950
2.078 -4.138 5.922
0.000 0.000 3.936
2.078 2.063 0.000
2.078 2.039 3.936
2.078 -2.039 3.936
2.078 -2.063 0.000

[3]
Nd8MgSb6 | Alexandria | GGA-PBE | relaxed; energy relative to the elements, uncorrected = -0.854 eV/atom; calculated density = 6.43 g/cm3; SG = R-3 (148)
1.0
4.696 2.711 6.453
-4.696 2.711 6.453
0.000 -5.423 6.453
Nd Mg Sb
8 1 6
Cartesian
-1.327 -2.380 7.846
0.000 0.000 3.265
-2.724 -0.041 11.514
-1.397 2.339 7.846
1.397 -2.339 11.514
2.724 0.041 7.846
0.000 0.000 16.095
1.327 2.380 11.514
0.000 0.000 9.680
-3.442 -0.024 8.237
-1.700 -2.992 11.123
1.741 -2.969 8.237
-1.741 2.969 11.123
1.700 2.992 8.237
3.442 0.024 11.123

Look up the calculated density of the first one.
5.89 g/cm3

Look up the calculated density of the first one.
5.89 g/cm3